Density functional theory data (PBE) for a geometry-optimized NiP8W structure.

Cell lengths 6.2488, 6.2488, 8.7910 Å; angles 90.00, 90.00, 120.00 degrees
With the nearest neighbours (Å) after each atom.
Space group P-31c (No. 163)
Unique sites:
1 Ni 0.0000 0.0000 0.0000  6 P 2.31
2 P 0.0442 0.3201 0.3467  2 P 2.23-2.26, 1 Ni 2.31
3 P 0.3333 0.6667 0.0369  3 P 2.26, 1 W 2.52
4 W 0.3333 0.6667 0.7500  8 P 2.52-2.55

Magnetization, μB per atom: 0.00
Calculated formation energy, eV per atom: -0.235